i:
The following is a PBE calculation of a relaxed structure of CdTe2Cl, from the Alexandria database.

Results
Its size of the total moment is 0.0 μB/f.u.

a = 3.905 Å, b = 3.905 Å, c = 7.365 Å
α = 90.00°, β = 90.00°, γ = 90.00°
Space group P4/mmm (No. 123)
Asymmetric unit:
Cd1 0.000 0.000 0.000 [1 per cell]
Te1 0.500 0.500 0.195 [2 per cell]
Cl1 0.000 0.000 0.500 [1 per cell]

***

ii:
The following is a PBE calculation of a relaxed structure of CdTe2Cl, from the Alexandria database.

Results
Its size of the total moment is 0.0 μB/f.u.

a = 5.630 Å, b = 5.630 Å, c = 3.287 Å
α = 90.00°, β = 90.00°, γ = 90.00°
Space group P4/mmm (No. 123)
Asymmetric unit:
Cd1 0.000 0.000 0.000 [1 per cell]
Te1 0.000 0.500 0.500 [2 per cell]
Cl1 0.500 0.500 0.000 [1 per cell]

***

How do the energies compare? Relative to the most stable structure, in eV/atom: i 0.000; ii 0.214.

***

i:
The following is a PBE calculation of a relaxed structure of Ti2Cd2Cl, from the Alexandria database.

Results
Its size of the total moment is 2.9 μB/f.u.

a = 3.883 Å, b = 3.883 Å, c = 14.338 Å
α = 90.00°, β = 90.00°, γ = 90.00°
Space group I4/mmm (No. 139)
Asymmetric unit:
Ti1 0.000 0.000 0.088 [4 per cell]
Cd1 0.000 0.500 0.250 [4 per cell]
Cl1 0.000 0.000 0.500 [2 per cell]

***

ii:
The following is a PBE calculation of a relaxed structure of Ti2Cd2Cl, from the Alexandria database.

Results
Its size of the total moment is 0.0 μB/f.u.

a = 6.292 Å, b = 6.292 Å, c = 4.908 Å
α = 90.00°, β = 90.00°, γ = 90.00°
Space group P4/mbm (No. 127)
Asymmetric unit:
Ti1 0.158 0.342 0.000 [4 per cell]
Cd1 0.158 0.658 0.500 [4 per cell]
Cl1 0.000 0.000 0.000 [2 per cell]

***

How do the energies compare? Relative to the most stable structure, in eV/atom: i 0.548; ii 0.000.

***

i:
The following is a PBE calculation of a relaxed structure of TiCd3Cl, from the Alexandria database.

Results
Its size of the total moment is 0.0 μB/f.u.

a = 5.198 Å, b = 5.198 Å, c = 5.198 Å
α = 90.00°, β = 90.00°, γ = 90.00°
Space group Pm-3m (No. 221)
Asymmetric unit:
Ti1 0.000 0.000 0.000 [1 per cell]
Cd1 0.000 0.500 0.500 [3 per cell]
Cl1 0.500 0.500 0.500 [1 per cell]

***

ii:
The following is a PBE calculation of a relaxed structure of TiCd3Cl, from the Alexandria database.

Results
Its size of the total moment is 2.8 μB/f.u.

a = 5.586 Å, b = 5.586 Å, c = 5.586 Å
α = 90.00°, β = 90.00°, γ = 90.00°
Space group Pm-3m (No. 221)
Asymmetric unit:
Ti1 0.000 0.000 0.000 [1 per cell]
Cd1 0.000 0.000 0.500 [3 per cell]
Cl1 0.500 0.500 0.500 [1 per cell]

***

How do the energies compare? Relative to the most stable structure, in eV/atom: i 0.321; ii 0.000.

***

i:
The following is a PBE calculation of a relaxed structure of TiCd2Cl, from the Alexandria database.

Results
Its size of the total moment is 2.4 μB/f.u.

a = 7.264 Å, b = 7.264 Å, c = 7.264 Å
α = 90.00°, β = 90.00°, γ = 90.00°
Space group Fm-3m (No. 225)
Asymmetric unit:
Ti1 0.000 0.000 0.000 [4 per cell]
Cd1 0.250 0.250 0.250 [8 per cell]
Cl1 0.000 0.000 0.500 [4 per cell]

***

ii:
The following is a PBE calculation of a relaxed structure of TiCd2Cl, from the Alexandria database.

Results
Its size of the total moment is 2.4 μB/f.u.

a = 8.223 Å, b = 8.223 Å, c = 5.561 Å
α = 90.00°, β = 90.00°, γ = 90.00°
Space group I-42d (No. 122)
Asymmetric unit:
Ti1 0.000 0.000 0.000 [4 per cell]
Cd1 0.246 0.750 0.125 [8 per cell]
Cl1 0.000 0.000 0.500 [4 per cell]

***

How do the energies compare? Relative to the most stable structure, in eV/atom: i 0.279; ii 0.000.

***

i:
The following is a PBE calculation of a relaxed structure of TlCdCl2, from the Alexandria database.

Results
Its size of the total moment is 0.0 μB/f.u.

a = 3.791 Å, b = 3.791 Å, c = 7.372 Å
α = 90.00°, β = 90.00°, γ = 90.00°
Space group P4/mmm (No. 123)
Asymmetric unit:
Tl1 0.000 0.000 0.000 [1 per cell]
Cd1 0.000 0.000 0.500 [1 per cell]
Cl1 0.500 0.500 0.271 [2 per cell]

***

ii:
The following is a PBE calculation of a relaxed structure of TlCdCl2, from the Alexandria database.

Results
Its size of the total moment is 0.0 μB/f.u.

a = 3.8151 Å, b = 3.8151 Å, c = 29.3444 Å
α = 90.00°, β = 90.00°, γ = 120.00°
Space group R-3m (No. 166, hexagonal axes)
Asymmetric unit:
Tl1 0.0000 0.0000 0.0000 [3 per cell]
Cd1 0.0000 0.0000 0.5000 [3 per cell]
Cl1 0.0000 0.0000 0.1140 [6 per cell]

***

How do the energies compare? Relative to the most stable structure, in eV/atom: i 0.109; ii 0.000.

***

i:
The following is a PBE calculation of a relaxed structure of TlCdCl2, from the Alexandria database.

Results
Its size of the total moment is 0.0 μB/f.u.

a = 7.922 Å, b = 4.556 Å, c = 7.186 Å
α = 90.00°, β = 111.23°, γ = 90.00°
Space group C2/m (No. 12)
Asymmetric unit:
Tl1 0.000 0.000 0.000 [2 per cell]
Cd1 0.000 0.500 0.500 [2 per cell]
Cl1 0.240 0.000 0.718 [4 per cell]

***

ii:
The following is a PBE calculation of a relaxed structure of TlCdCl2, from the Alexandria database.

Results
Its size of the total moment is 0.0 μB/f.u.

a = 4.342 Å, b = 4.342 Å, c = 6.606 Å
α = 90.00°, β = 90.00°, γ = 90.00°
Space group P4mm (No. 99)
Asymmetric unit:
Tl1 0.000 0.000 0.000 [1 per cell]
Cd1 0.500 0.500 0.492 [1 per cell]
Cl1 0.000 0.000 0.486 [1 per cell]
Cl2 0.500 0.500 0.910 [1 per cell]

***

iii:
The following is a PBE calculation of a relaxed structure of TlCdCl2, from the Alexandria database.

Results
Its size of the total moment is 0.0 μB/f.u.

a = 16.895 Å, b = 5.499 Å, c = 5.772 Å
α = 90.00°, β = 109.74°, γ = 90.00°
Space group C2/c (No. 15)
Asymmetric unit:
Tl1 0.250 0.250 0.000 [4 per cell]
Cd1 0.000 0.000 0.000 [4 per cell]
Cl1 0.133 0.253 0.386 [8 per cell]

***

iv:
The following is a PBE calculation of a relaxed structure of TlCdCl2, from the Alexandria database.

Results
Its size of the total moment is 0.5 μB/f.u.

a = 7.460 Å, b = 7.460 Å, c = 7.460 Å
α = 90.00°, β = 90.00°, γ = 90.00°
Space group F-43m (No. 216)
Asymmetric unit:
Tl1 0.000 0.000 0.000 [4 per cell]
Cd1 0.250 0.250 0.250 [4 per cell]
Cl1 0.000 0.000 0.500 [4 per cell]
Cl2 0.250 0.250 0.750 [4 per cell]

***

How do the energies compare? Relative to the most stable structure, in eV/atom: i 0.021; ii 0.000; iii 0.007; iv 0.334.